*i*
## NiOsW2 (PBE)

Data for a geometry-optimized NiOsW2 structure.

Its density of states at the Fermi level is 2.7 states/eV/cell. As for the crystal system: orthorhombic.

Cell and atoms, written as POSCAR:
```
NiOsW2
1.0
-0.4073 0.9119 -2.8236
-3.3678 0.1570 0.5365
0.5197 5.4221 1.6761
W Os Ni
2 1 1
Cartesian
-1.7412 2.0606 -0.6718
0.5140 5.3620 1.6575
-1.5040 4.5359 0.0933
0.2555 2.6656 0.8240
```

*ii*
## NiOsW2 (PBE)

Data for a geometry-optimized NiOsW2 structure.

Its density of states at the Fermi level is 3.4 states/eV/cell. As for the crystal system: tetragonal.

Cell and atoms, written as POSCAR:
```
NiOsW2
1.0
-1.2501 -1.1291 -2.1715
1.7814 -2.0918 0.0616
-4.7095 -3.8716 4.7243
Os W Ni
1 2 1
Cartesian
-3.2169 -4.4734 2.4385
-4.6384 -3.8132 4.6530
-1.0115 -2.6604 0.2262
-2.3757 -1.9531 2.3832
```

*iii*
## NiOsW2 (PBE)

Data for a geometry-optimized NiOsW2 structure.

Its density of states at the Fermi level is 3.0 states/eV/cell. As for the crystal system: tetragonal.

Cell and atoms, written as POSCAR:
```
NiOsW2
1.0
-0.4439 0.7941 -2.5966
0.8560 -2.4550 -0.9000
-7.1608 -2.6486 0.4140
W Os Ni
2 1 1
Cartesian
-3.5331 -1.3068 0.2043
-0.0473 -0.0175 0.0027
-5.1645 -2.8169 -1.4378
-1.5841 -1.4926 -1.6448
```

Result of the stability comparison: *iii* is the most stable of them.

*i*
## NiOsW2 (PBE)

Data for a geometry-optimized NiOsW2 structure.

Its density of states at the Fermi level is 3.0 states/eV/cell. As for the crystal system: monoclinic.

Cell and atoms, written as POSCAR:
```
NiOsW2
1.0
3.8471 0.0000 0.0000
0.0000 2.7813 0.0146
0.0000 2.7845 5.4350
W Ni Os
2 1 1
Cartesian
0.0000 2.7794 0.0253
0.0000 2.7847 2.7142
1.9236 1.3914 1.3624
1.9236 4.1743 4.0872
```

*ii*
## NiOsW2 (PBE)

Data for a geometry-optimized NiOsW2 structure.

Its density of states at the Fermi level is 5.7 states/eV/cell. As for the crystal system: cubic.

Cell and atoms, written as POSCAR:
```
NiOsW2
1.0
-1.5602 -3.9652 -0.9421
0.7245 -3.3332 2.7220
-3.2888 -1.6627 2.3375
Ni W Os
1 2 1
Cartesian
0.0000 0.0000 0.0000
-1.0311 -2.2403 1.0293
-3.0934 -6.7208 3.0880
-2.0622 -4.4805 2.0587
```

Result of the stability comparison: *i* is the most stable of them.